Here is a relaxed structure of SmFe2Si2 from the Alexandria database. Energies are from GGA-PBEsol.

Cell lengths 3.947, 3.947, 5.523 Å; angles 110.94, 110.94, 90.00 degrees
Fractional coordinates of all 5 atoms:
Si  0.637  0.637  0.274
Si  0.363  0.363  0.726
Fe  0.250  0.750  0.500
Fe  0.750  0.250  0.500
Sm  0.000  0.000  0.000

Output
- Uncorrected formation energy: -0.72 eV per atom
- Magnetic moment: 0.000 μB/atom